1.
This record from Alexandria describes an optimized crystal structure of Pa2Be4Si3Au. The functional is PBE-GGA.

Structure (POSCAR):
```
Pa2Be4Si3Au
1.0
3.966 0.000 0.000
0.000 3.966 0.000
0.000 0.000 9.417
Pa Be Si Au
2 4 3 1
Direct
0.500 0.000 0.238
0.000 0.500 0.762
0.500 0.500 0.000
0.000 0.000 0.000
0.500 0.000 0.639
0.000 0.500 0.361
0.000 0.000 0.500
0.500 0.000 0.873
0.000 0.500 0.127
0.500 0.500 0.500
```

Properties
ΔE_f (raw)	-0.3189	eV/atom
Fermi-level density of states	8.23	states/eV per cell
DFT total energy	-5.66	eV/atom

---

2.
This record from Alexandria describes an optimized crystal structure of SiAgP2. The functional is PBE-GGA.

Structure (POSCAR):
```
SiAgP2
1.0
-3.587 1.236 0.011
-3.149 -1.457 -1.536
-4.547 -3.473 4.758
Ag P Si
1 2 1
Direct
0.214 0.214 0.231
0.054 0.054 0.983
0.708 0.708 0.743
0.524 0.524 0.544
```

Properties
ΔE_f (raw)	0.2259	eV/atom
Fermi-level density of states	1.03	states/eV per cell
DFT total energy	-4.55	eV/atom

---

3.
This record from Alexandria describes an optimized crystal structure of CaZrW. The functional is PBE-GGA.

Structure (POSCAR):
```
CaZrW
1.0
-0.926 6.468 -4.914
-2.578 4.292 -6.237
-1.884 1.825 1.527
Ca Zr W
1 1 1
Direct
0.986 0.986 0.014
0.690 0.690 0.310
0.324 0.324 0.676
```

Properties
E above lowest polymorph	17	meV per atom
Fermi-level density of states	2.72	states/eV per cell
ΔH_f (0 K)	559	meV per atom
DFT total energy	-7.28	eV/atom

---

Which of these has the lowest DFT total energy? CaZrW

---

Which value of DFT total energy does entry 1 give? -5.66 eV/atom

---

Number 2 is which compound? SiAgP2

---

Fermi-level density of states of number 2 (SiAgP2)? 1.03 states/eV per cell